(1)
DFT (GGA-PBE) results for a relaxed Tb2DyErSe5 crystal. Values from VASP.

Structure (Quantum ESPRESSO input):
```
&SYSTEM
  ibrav = 0, nat = 9, ntyp = 4
/
ATOMIC_SPECIES
Tb 158.93 Tb.upf
Dy 162.50 Dy.upf
Er 167.26 Er.upf
Se 78.96 Se.upf
CELL_PARAMETERS angstrom
5.107 0.000 0.000
0.000 5.107 0.000
0.000 0.000 10.703
ATOMIC_POSITIONS crystal
Tb 0.000 0.000 0.163
Tb 0.000 0.000 0.837
Dy 0.500 0.500 0.500
Er 0.500 0.500 0.000
Se 0.000 0.000 0.500
Se 0.000 0.500 0.000
Se 0.500 0.000 0.000
Se 0.500 0.500 0.253
Se 0.500 0.500 0.747
```

Computed properties:
**Raw formation energy**: -10.33 eV/f.u.
**Magnetization**: 0.027 μB per formula unit

(2)
DFT (GGA-PBE) results for a relaxed Tb2DyEr3Se6 crystal. Values from VASP.

Structure (Quantum ESPRESSO input):
```
&SYSTEM
  ibrav = 0, nat = 12, ntyp = 4
/
ATOMIC_SPECIES
Tb 158.93 Tb.upf
Dy 162.50 Dy.upf
Er 167.26 Er.upf
Se 78.96 Se.upf
CELL_PARAMETERS angstrom
8.860 -2.024 0.000
8.860 2.024 0.000
-1.948 0.000 7.928
ATOMIC_POSITIONS crystal
Tb 0.167 0.167 0.334
Tb 0.833 0.833 0.666
Dy 0.500 0.500 0.000
Er 0.167 0.167 0.833
Er 0.500 0.500 0.500
Er 0.833 0.833 0.167
Se 0.001 0.001 0.748
Se 0.333 0.333 0.921
Se 0.335 0.335 0.414
Se 0.665 0.665 0.586
Se 0.667 0.667 0.079
Se 0.999 0.999 0.252
```

Computed properties:
**Raw formation energy**: -20.76 eV/f.u.
**Magnetization**: 0.004 μB per formula unit

(3)
DFT (GGA-PBE) results for a relaxed Tb4DyEr3Se8 crystal. Values from VASP.

Structure (Quantum ESPRESSO input):
```
&SYSTEM
  ibrav = 0, nat = 16, ntyp = 4
/
ATOMIC_SPECIES
Tb 158.93 Tb.upf
Dy 162.50 Dy.upf
Er 167.26 Er.upf
Se 78.96 Se.upf
CELL_PARAMETERS angstrom
4.064 2.346 6.673
-4.064 2.346 6.673
0.000 -4.693 6.673
ATOMIC_POSITIONS crystal
Tb 0.000 0.000 0.000
Tb 0.000 0.500 0.500
Tb 0.500 0.000 0.500
Tb 0.500 0.500 0.000
Dy 0.500 0.500 0.500
Er 0.000 0.000 0.500
Er 0.000 0.500 0.000
Er 0.500 0.000 0.000
Se 0.247 0.749 0.749
Se 0.248 0.248 0.248
Se 0.251 0.251 0.753
Se 0.251 0.753 0.251
Se 0.749 0.247 0.749
Se 0.749 0.749 0.247
Se 0.752 0.752 0.752
Se 0.753 0.251 0.251
```

Computed properties:
**Raw formation energy**: -27.78 eV/f.u.
**Magnetization**: 0.000 μB per formula unit

(4)
DFT (GGA-PBE) results for a relaxed Tb3Dy3ErSe8 crystal. Values from VASP.

Structure (Quantum ESPRESSO input):
```
&SYSTEM
  ibrav = 0, nat = 15, ntyp = 4
/
ATOMIC_SPECIES
Tb 158.93 Tb.upf
Dy 162.50 Dy.upf
Er 167.26 Er.upf
Se 78.96 Se.upf
CELL_PARAMETERS angstrom
4.068 2.349 6.649
-4.068 2.349 6.649
0.000 -4.697 6.649
ATOMIC_POSITIONS crystal
Tb 0.000 0.500 0.500
Tb 0.500 0.000 0.500
Tb 0.500 0.500 0.000
Dy 0.000 0.000 0.500
Dy 0.000 0.500 0.000
Dy 0.500 0.000 0.000
Er 0.500 0.500 0.500
Se 0.248 0.751 0.751
Se 0.249 0.249 0.249
Se 0.249 0.249 0.752
Se 0.249 0.752 0.249
Se 0.751 0.248 0.751
Se 0.751 0.751 0.248
Se 0.751 0.751 0.751
Se 0.752 0.249 0.249
```

Computed properties:
**Raw formation energy**: -27.55 eV/f.u.
**Magnetization**: 0.000 μB per formula unit

Please write out number 4 again, unchanged.
DFT (GGA-PBE) results for a relaxed Tb3Dy3ErSe8 crystal. Values from VASP.

Structure (Quantum ESPRESSO input):
```
&SYSTEM
  ibrav = 0, nat = 15, ntyp = 4
/
ATOMIC_SPECIES
Tb 158.93 Tb.upf
Dy 162.50 Dy.upf
Er 167.26 Er.upf
Se 78.96 Se.upf
CELL_PARAMETERS angstrom
4.068 2.349 6.649
-4.068 2.349 6.649
0.000 -4.697 6.649
ATOMIC_POSITIONS crystal
Tb 0.000 0.500 0.500
Tb 0.500 0.000 0.500
Tb 0.500 0.500 0.000
Dy 0.000 0.000 0.500
Dy 0.000 0.500 0.000
Dy 0.500 0.000 0.000
Er 0.500 0.500 0.500
Se 0.248 0.751 0.751
Se 0.249 0.249 0.249
Se 0.249 0.249 0.752
Se 0.249 0.752 0.249
Se 0.751 0.248 0.751
Se 0.751 0.751 0.248
Se 0.751 0.751 0.751
Se 0.752 0.249 0.249
```

Computed properties:
**Raw formation energy**: -27.55 eV/f.u.
**Magnetization**: 0.000 μB per formula unit